(1)
First-principles (GGA-PBE) data for a relaxed GaTc2O crystal, as listed in the Alexandria database.

Cell and atoms, written as extended XYZ:
```
4
Lattice="0.0000 2.9528 2.9528 2.9528 0.0000 2.9528 2.9528 2.9528 0.0000" Properties=species:S:1:pos:R:3 pbc="T T T"
O 0.0000 0.0000 0.0000
Tc 4.4291 4.4291 4.4291
Tc 1.4764 1.4764 1.4764
Ga 2.9528 2.9528 2.9528
```

Values from the calculation:
Energy relative to the lowest polymorph listed for this composition = 0.461 eV/atom

=====

(2)
First-principles (GGA-PBE) data for a relaxed NaCo2Te crystal, as listed in the Alexandria database.

Cell and atoms, written as extended XYZ:
```
8
Lattice="7.5228 0.0000 0.0000 0.0000 7.5228 0.0000 3.7614 3.7614 2.8131" Properties=species:S:1:pos:R:3 pbc="T T T"
Co 5.6421 5.2391 2.1099
Co 1.4777 5.6421 0.7033
Co 6.0451 1.8807 0.7033
Co 9.4035 9.8064 2.1099
Na 3.7614 3.7614 0.0000
Na 3.7614 7.5228 1.4066
Te 7.5228 3.7614 1.4066
Te 0.0000 0.0000 0.0000
```

=====

Formation energy from raw total energies: 0.430 0.643 (eV/atom)